(1)
The following is a PBE-GGA calculation of a relaxed structure of ErNbTeC, from the Open Quantum Materials Database.

a = 3.5340 Å, b = 3.5340 Å, c = 13.5785 Å
α = 90.00°, β = 90.00°, γ = 120.00°
Last column: nearest neighbours and their distance in Å.
Fractional coordinates of all 8 atoms:
Nb 0.6667 0.3333 0.1531  3 C 2.29
Nb 0.6667 0.3333 0.8469  3 C 2.29
Te 0.6667 0.3333 0.5000  6 Er 3.09
Te 0.3333 0.6667 0.0000  6 Nb 2.91
Er 0.3333 0.6667 0.3293  3 C 2.45
Er 0.3333 0.6667 0.6707  3 C 2.45
C 0.0000 0.0000 0.7701  3 Nb 2.29, 3 Er 2.45
C 0.0000 0.0000 0.2299  3 Nb 2.29, 3 Er 2.45

Properties
The calculation puts the total energy at -7.3474 eV per atom. The theoretical density is 9.0 g/cm³. The energy above the most stable polymorph in this dataset comes out at 8.9 kJ/mol of formula units.

***

(2)
The following is a PBE-GGA calculation of a relaxed structure of ErNb3Te2C2, from the Open Quantum Materials Database.

a = 3.4967 Å, b = 3.4967 Å, c = 13.1670 Å
α = 90.00°, β = 90.00°, γ = 120.00°
Last column: nearest neighbours and their distance in Å.
Fractional coordinates of all 8 atoms:
Nb 0.0000 0.0000 0.4250  3 C 2.28
Nb 0.3333 0.6667 0.9055  3 C 2.26
Nb 0.3333 0.6667 0.5814  3 C 2.25
Te 0.0000 0.0000 0.7455  6 Nb 2.92-2.96
Te 0.3333 0.6667 0.2678  3 Nb 2.89, 3 Er 3.13
C 0.6667 0.3333 0.9831  3 Nb 2.26, 3 Er 2.43
C 0.6667 0.3333 0.5051  6 Nb 2.25-2.28
Er 0.0000 0.0000 0.0865  3 C 2.43

Properties
The calculation puts the total energy at -7.9380 eV per atom. The theoretical density is 8.6 g/cm³.

***

(3)
The following is a PBE-GGA calculation of a relaxed structure of NdErSi2W2C, from the Open Quantum Materials Database.

a = 5.8931 Å, b = 5.8931 Å, c = 7.2003 Å
α = 123.23°, β = 123.23°, γ = 38.47°
Last column: nearest neighbours and their distance in Å.
Fractional coordinates of all 7 atoms:
Si 0.8676 0.8676 0.3372  1 Si 2.49, 3 W 2.56-2.63
Si 0.1329 0.1329 0.6675  1 Si 2.49, 3 W 2.54-2.59
W 0.2067 0.2067 0.0812  1 C 2.02
W 0.7920 0.7920 0.9167  1 C 2.02
C 0.9969 0.9969 0.9896  2 W 2.02
Er 0.4267 0.4267 0.7059  2 C 2.59
Nd 0.5771 0.5771 0.3019  2 C 2.70

Properties
The calculation puts the total energy at -8.4094 eV per atom. The theoretical density is 9.8 g/cm³.

***

(4)
The following is a PBE-GGA calculation of a relaxed structure of NdErW2C3, from the Open Quantum Materials Database.

a = 6.2376 Å, b = 6.2376 Å, c = 5.7926 Å
α = 112.71°, β = 112.71°, γ = 31.19°
Last column: nearest neighbours and their distance in Å.
Fractional coordinates of all 7 atoms:
C 0.7468 0.7468 0.2684  3 W 2.09-2.16
C 0.2477 0.2477 0.7306  3 W 2.12-2.17
C 0.0022 0.0022 0.9881  2 W 2.05-2.07
W 0.8420 0.8420 0.6743  4 C 2.05-2.16
W 0.1557 0.1557 0.3230  4 C 2.07-2.17
Nd 0.3937 0.3937 0.1903  5 C 2.53-2.67
Er 0.6118 0.6118 0.8252  5 C 2.43-2.55

Properties
The calculation puts the total energy at -9.2569 eV per atom. The theoretical density is 11.1 g/cm³.

***

(5)
The following is a PBE-GGA calculation of a relaxed structure of Er4SnC2O, from the Open Quantum Materials Database.

a = 3.5054 Å, b = 3.5054 Å, c = 13.7171 Å
α = 90.00°, β = 90.00°, γ = 120.00°
Last column: nearest neighbours and their distance in Å.
Fractional coordinates of all 8 atoms:
Er 0.0000 0.0000 0.3082  3 C 2.41
Er 0.6667 0.3333 0.8869  3 C 2.44, 3 O 2.55
Er 0.0000 0.0000 0.6918  3 C 2.41
Er 0.6667 0.3333 0.1131  3 C 2.44, 3 O 2.55
O 0.0000 0.0000 0.0000  6 Er 2.55
C 0.3333 0.6667 0.7873  6 Er 2.41-2.44
C 0.3333 0.6667 0.2127  6 Er 2.41-2.44
Sn 0.6667 0.3333 0.5000  6 Er 3.32, 6 Sn 3.51

Properties
The calculation puts the total energy at -6.8244 eV per atom. The theoretical density is 9.4 g/cm³.

***

(6)
The following is a PBE-GGA calculation of a relaxed structure of Er4TlC2O, from the Open Quantum Materials Database.

a = 3.5010 Å, b = 3.5010 Å, c = 13.9445 Å
α = 90.00°, β = 90.00°, γ = 120.00°
Last column: nearest neighbours and their distance in Å.
Fractional coordinates of all 8 atoms:
Er 0.0000 0.0000 0.3039  3 C 2.41
Er 0.6667 0.3333 0.1113  3 C 2.44, 3 O 2.55
Er 0.6667 0.3333 0.8887  3 C 2.44, 3 O 2.55
Er 0.0000 0.0000 0.6961  3 C 2.41
C 0.3333 0.6667 0.2096  6 Er 2.41-2.44
C 0.3333 0.6667 0.7904  6 Er 2.41-2.44
O 0.0000 0.0000 0.0000  6 Er 2.55
Tl 0.6667 0.3333 0.5000  6 Er 3.40, 6 Tl 3.50

Properties
The calculation puts the total energy at -6.5323 eV per atom. The theoretical density is 10.2 g/cm³.

***

(7)
The following is a PBE-GGA calculation of a relaxed structure of Er2PbC4, from the Open Quantum Materials Database.

a = 7.0648 Å, b = 7.0648 Å, c = 7.0648 Å
α = 99.78°, β = 97.20°, γ = 134.82°
Last column: nearest neighbours and their distance in Å.
Fractional coordinates of all 14 atoms:
C 0.7460 0.8851 0.6311  1 C 1.31
C 0.3932 0.1353 0.5285  1 C 1.31
C 0.6068 0.8647 0.4715  1 C 1.31
C 0.8932 0.3647 0.2579  1 C 1.31
C 0.2540 0.1149 0.3689  1 C 1.31
C 0.2460 0.6149 0.8609  1 C 1.31
C 0.7540 0.3851 0.1391  1 C 1.31
C 0.1068 0.6353 0.7421  1 C 1.31
Er 0.3590 0.8543 0.2133  4 C 2.32-2.58
Er 0.8590 0.6457 0.5046  4 C 2.32-2.58
Er 0.6410 0.1457 0.7867  4 C 2.32-2.58
Er 0.1410 0.3543 0.4954  4 C 2.32-2.58
Pb 0.2500 0.2500 0.0000  2 Pb 2.71, 4 C 2.93
Pb 0.7500 0.7500 0.0000  2 Pb 2.71, 4 C 2.93

Properties
The calculation puts the total energy at -6.9682 eV per atom. The theoretical density is 8.5 g/cm³.

***

(8)
The following is a PBE-GGA calculation of a relaxed structure of Er3ScPb2C2, from the Open Quantum Materials Database.

a = 3.5517 Å, b = 3.5517 Å, c = 15.7414 Å
α = 90.00°, β = 90.00°, γ = 120.00°
Last column: nearest neighbours and their distance in Å.
Fractional coordinates of all 8 atoms:
Er 0.6667 0.3333 0.0774  3 C 2.44
Er 0.6667 0.3333 0.4178  3 C 2.44
Er 0.0000 0.0000 0.5855  3 C 2.44
Pb 0.0000 0.0000 0.2475  6 Er 3.37-3.38, 6 Pb 3.55
Pb 0.6667 0.3333 0.7573  3 Sc 3.27, 3 Er 3.39, 6 Pb 3.55
C 0.3333 0.6667 0.9939  3 Sc 2.36, 3 Er 2.44
C 0.3333 0.6667 0.5015  6 Er 2.44
Sc 0.0000 0.0000 0.9191  3 C 2.36

Properties
The calculation puts the total energy at -6.2682 eV per atom. The theoretical density is 9.5 g/cm³.

***

(9)
The following is a PBE-GGA calculation of a relaxed structure of Er4PbC2Se, from the Open Quantum Materials Database.

a = 3.6676 Å, b = 3.6676 Å, c = 14.5036 Å
α = 90.00°, β = 90.00°, γ = 120.00°
Last column: nearest neighbours and their distance in Å.
Fractional coordinates of all 8 atoms:
C 0.3333 0.6667 0.7290  6 Er 2.47-2.51
C 0.3333 0.6667 0.2710  6 Er 2.47-2.51
Se 0.6667 0.3333 0.5000  6 Er 2.90
Er 0.6667 0.3333 0.8173  3 C 2.47
Er 0.0000 0.0000 0.3634  3 C 2.51
Er 0.0000 0.0000 0.6366  3 C 2.51
Er 0.6667 0.3333 0.1827  3 C 2.47
Pb 0.0000 0.0000 0.0000  6 Er 3.39, 6 Pb 3.67

Properties
The calculation puts the total energy at -6.3327 eV per atom. The theoretical density is 9.6 g/cm³.

***

(10)
The following is a PBE-GGA calculation of a relaxed structure of Er4SnPbC2, from the Open Quantum Materials Database.

a = 3.5917 Å, b = 3.5917 Å, c = 15.8095 Å
α = 90.00°, β = 90.00°, γ = 120.00°
Last column: nearest neighbours and their distance in Å.
Fractional coordinates of all 8 atoms:
C 0.6667 0.3333 0.2514  6 Er 2.45-2.47
C 0.6667 0.3333 0.7486  6 Er 2.45-2.47
Er 0.3333 0.6667 0.1691  3 C 2.45
Er 0.0000 0.0000 0.3358  3 C 2.47
Er 0.0000 0.0000 0.6642  3 C 2.47
Er 0.3333 0.6667 0.8309  3 C 2.45
Sn 0.3333 0.6667 0.5000  6 Er 3.32, 6 Sn 3.59
Pb 0.0000 0.0000 0.0000  6 Er 3.38, 6 Pb 3.59

Properties
The calculation puts the total energy at -6.1029 eV per atom. The theoretical density is 9.6 g/cm³.

***

(11)
The following is a PBE-GGA calculation of a relaxed structure of Tb3ErPb2C2, from the Open Quantum Materials Database.

a = 3.6450 Å, b = 3.6450 Å, c = 16.1968 Å
α = 90.00°, β = 90.00°, γ = 120.00°
Last column: nearest neighbours and their distance in Å.
Fractional coordinates of all 8 atoms:
Tb 0.6667 0.3333 0.4169  3 C 2.50
Tb 0.6667 0.3333 0.0822  3 C 2.50
Tb 0.0000 0.0000 0.5832  3 C 2.50
C 0.3333 0.6667 0.9984  3 Er 2.48, 3 Tb 2.50
C 0.3333 0.6667 0.5002  6 Tb 2.50
Pb 0.6667 0.3333 0.7516  3 Er 3.42, 3 Tb 3.44, 6 Pb 3.64
Pb 0.0000 0.0000 0.2497  6 Tb 3.43, 6 Pb 3.64
Er 0.0000 0.0000 0.9179  3 C 2.48

Properties
The calculation puts the total energy at -6.0221 eV per atom. The theoretical density is 9.6 g/cm³.

***

Values of magnetization, in order: 0.0; 0.0; 0.0; 0.0; 0.0; 0.3; 0.0; 0.0; 0.0; 0.0; 0.0, all in μB/cell.